Run P
Entry from the Alexandria database: crystalline LiTe3Os at its relaxed geometry (GGA-PBE).

Structure (extended XYZ):
```
5
Lattice="4.815 0.000 0.000 0.000 4.815 0.000 0.000 0.000 4.815" Properties=species:S:1:pos:R:3 pbc="T T T"
Te 0.000 0.000 2.408
Te 0.000 2.408 0.000
Te 2.408 0.000 0.000
Os 2.408 2.408 2.408
Li 0.000 0.000 0.000
```

Run Q
Entry from the Alexandria database: crystalline LiTe3Os at its relaxed geometry (GGA-PBE).

Structure (extended XYZ):
```
5
Lattice="5.318 0.000 0.000 0.000 5.318 0.000 0.000 0.000 5.318" Properties=species:S:1:pos:R:3 pbc="T T T"
Te 0.000 0.000 2.659
Te 0.000 2.659 0.000
Te 2.659 0.000 0.000
Li 2.659 2.659 2.659
Os 0.000 0.000 0.000
```

Relative energies, in kJ/mol of atoms, with the most stable structure set to zero: run P 67.1; run Q 0.0.

Run P
Entry from the Alexandria database: crystalline LiTlOs at its relaxed geometry (GGA-PBE).

Structure (extended XYZ):
```
3
Lattice="-5.223 5.178 -1.263 -5.872 4.002 1.288 1.354 2.542 0.135" Properties=species:S:1:pos:R:3 pbc="T T T"
Tl -2.781 4.747 0.098
Os -6.837 6.909 0.062
Li 1.231 2.607 0.134
```

Run Q
Entry from the Alexandria database: crystalline LiTlOs at its relaxed geometry (GGA-PBE).

Structure (extended XYZ):
```
3
Lattice="4.548 0.000 0.000 -2.274 3.938 0.000 0.000 0.000 2.780" Properties=species:S:1:pos:R:3 pbc="T T T"
Li 0.000 0.000 2.525
Tl 0.000 2.626 2.148
Os 2.274 1.313 0.888
```

Relative energies, in kJ/mol of atoms, with the most stable structure set to zero: run P 5.3; run Q 0.0.